No. 1
# TbNd2Er7 | the Alexandria database | GGA-PBE | optimized geometry
# DOS(E_F) = 12.97 states/eV per cell
# Energy of formation = 0.5 kcal/mol of atoms
# Spin magnetization = 0.000 μB per cell
# Energy above the most stable polymorph in this dataset = 0 meV per atom
data_TbNd2Er7
_symmetry_space_group_name_H-M 'P -1'
_symmetry_Int_Tables_number 2
_cell_length_a 6.142
_cell_length_b 7.090
_cell_length_c 7.938
_cell_angle_alpha 77.14
_cell_angle_beta 75.00
_cell_angle_gamma 73.31
loop_
_symmetry_equiv_pos_as_xyz
'x,y,z'
'-x,-y,-z'
loop_
_atom_site_label
_atom_site_fract_x
_atom_site_fract_y
_atom_site_fract_z
Tb1 0.000 0.000 0.000
Nd1 0.202 0.299 0.601
Er1 0.000 0.500 0.000
Er2 0.199 0.800 0.601
Er3 0.399 0.101 0.198
Er4 0.400 0.601 0.198

***

No. 2
# TbNd7Er2 | the Alexandria database | GGA-PBE | optimized geometry
# DOS(E_F) = 30.31 states/eV per cell
# Energy of formation = 14.8 kcal/mol of atoms
# Spin magnetization = 0.001 μB per cell
data_TbNd7Er2
_symmetry_space_group_name_H-M 'C m m m'
_symmetry_Int_Tables_number 65
_symmetry_space_group_name_Hall '-C 2 2'
_cell_length_a 8.907
_cell_length_b 16.382
_cell_length_c 5.693
_cell_angle_alpha 90.00
_cell_angle_beta 90.00
_cell_angle_gamma 90.00
loop_
_atom_site_label
_atom_site_fract_x
_atom_site_fract_y
_atom_site_fract_z
Tb1 0.000 0.000 0.000
Nd1 0.000 0.222 0.000
Nd2 0.000 0.500 0.500
Nd3 0.179 0.114 0.500
Er1 0.000 0.295 0.500

***

No. 3
# Tb3Nd4Er | the Alexandria database | GGA-PBE | optimized geometry
# DOS(E_F) = 28.94 states/eV per cell
# Energy of formation = 0.7 kcal/mol of atoms
# Spin magnetization = 0.009 μB per cell
# Energy above the most stable polymorph in this dataset = 0 meV per atom
data_Tb3Nd4Er
_symmetry_space_group_name_H-M 'P m n 21'
_symmetry_Int_Tables_number 31
_cell_length_a 11.628
_cell_length_b 7.337
_cell_length_c 6.323
_cell_angle_alpha 90.00
_cell_angle_beta 90.00
_cell_angle_gamma 90.00
loop_
_symmetry_equiv_pos_as_xyz
'x,y,z'
'-x+1/2,-y,z+1/2'
'-x,y,z'
'x+1/2,-y,z+1/2'
loop_
_atom_site_label
_atom_site_fract_x
_atom_site_fract_y
_atom_site_fract_z
Tb1 0.000 0.123 0.000
Tb2 0.250 0.122 0.332
Nd1 0.000 0.373 0.501
Nd2 0.000 0.627 0.997
Nd3 0.248 0.628 0.334
Er1 0.000 0.880 0.499

***

No. 4
# TbNd4Er4 | the Alexandria database | GGA-PBE | optimized geometry
# DOS(E_F) = 26.39 states/eV per cell
# Energy of formation = 0.5 kcal/mol of atoms
# Spin magnetization = 0.000 μB per cell
# Energy above the most stable polymorph in this dataset = 2 meV per atom
data_TbNd4Er4
_symmetry_space_group_name_H-M 'C 1 2/m 1'
_symmetry_Int_Tables_number 12
_cell_length_a 15.206
_cell_length_b 5.079
_cell_length_c 8.045
_cell_angle_alpha 90.00
_cell_angle_beta 108.50
_cell_angle_gamma 90.00
loop_
_symmetry_equiv_pos_as_xyz
'x,y,z'
'-x,-y,-z'
'-x,y,-z'
'x,-y,z'
'x+1/2,y+1/2,z'
'-x+1/2,-y+1/2,-z'
'-x+1/2,y+1/2,-z'
'x+1/2,-y+1/2,z'
loop_
_atom_site_label
_atom_site_fract_x
_atom_site_fract_y
_atom_site_fract_z
Tb1 0.000 0.000 0.000
Nd1 0.166 0.500 0.001
Nd2 0.223 0.000 0.336
Er1 0.054 0.500 0.336
Er2 0.109 0.000 0.666

***

No. 5
# Tb2Nd3Er5 | the Alexandria database | GGA-PBE | optimized geometry
# DOS(E_F) = 69.31 states/eV per cell
# Energy of formation = 4.4 kcal/mol of atoms
# Spin magnetization = 0.000 μB per cell
data_Tb2Nd3Er5
_symmetry_space_group_name_H-M 'C 1 2/c 1'
_symmetry_Int_Tables_number 15
_cell_length_a 10.648
_cell_length_b 16.004
_cell_length_c 9.383
_cell_angle_alpha 90.00
_cell_angle_beta 124.52
_cell_angle_gamma 90.00
loop_
_symmetry_equiv_pos_as_xyz
'x,y,z'
'-x,-y,-z'
'-x,y,-z+1/2'
'x,-y,z+1/2'
'x+1/2,y+1/2,z'
'-x+1/2,-y+1/2,-z'
'-x+1/2,y+1/2,-z+1/2'
'x+1/2,-y+1/2,z+1/2'
loop_
_atom_site_label
_atom_site_fract_x
_atom_site_fract_y
_atom_site_fract_z
Tb1 0.151 0.118 0.047
Nd1 0.000 0.266 0.750
Nd2 0.146 0.376 0.547
Er1 0.000 0.029 0.250
Er2 0.000 0.228 0.250
Er3 0.000 0.474 0.750
Er4 0.242 0.113 0.733

***

No. 6
# TbNdEr6 | the Alexandria database | GGA-PBE | optimized geometry
# DOS(E_F) = 23.27 states/eV per cell
# Energy of formation = 8.6 kcal/mol of atoms
# Spin magnetization = 0.000 μB per cell
# Energy above the most stable polymorph in this dataset = 145 meV per atom
data_TbNdEr6
_symmetry_space_group_name_H-M 'C 1 2/m 1'
_symmetry_Int_Tables_number 12
_cell_length_a 10.085
_cell_length_b 6.699
_cell_length_c 8.483
_cell_angle_alpha 90.00
_cell_angle_beta 104.74
_cell_angle_gamma 90.00
loop_
_symmetry_equiv_pos_as_xyz
'x,y,z'
'-x,-y,-z'
'-x,y,-z'
'x,-y,z'
'x+1/2,y+1/2,z'
'-x+1/2,-y+1/2,-z'
'-x+1/2,y+1/2,-z'
'x+1/2,-y+1/2,z'
loop_
_atom_site_label
_atom_site_fract_x
_atom_site_fract_y
_atom_site_fract_z
Tb1 0.000 0.000 0.000
Nd1 0.000 0.000 0.500
Er1 0.126 0.500 0.424
Er2 0.197 0.259 0.800

***

No. 7
# Tb5Nd4Er3 | the Alexandria database | GGA-PBE | optimized geometry
# DOS(E_F) = 40.18 states/eV per cell
# Energy of formation = 5.2 kcal/mol of atoms
# Spin magnetization = 0.877 μB per cell
data_Tb5Nd4Er3
_symmetry_space_group_name_H-M 'C 1 2/m 1'
_symmetry_Int_Tables_number 12
_cell_length_a 16.184
_cell_length_b 5.934
_cell_length_c 9.390
_cell_angle_alpha 90.00
_cell_angle_beta 116.74
_cell_angle_gamma 90.00
loop_
_symmetry_equiv_pos_as_xyz
'x,y,z'
'-x,-y,-z'
'-x,y,-z'
'x,-y,z'
'x+1/2,y+1/2,z'
'-x+1/2,-y+1/2,-z'
'-x+1/2,y+1/2,-z'
'x+1/2,-y+1/2,z'
loop_
_atom_site_label
_atom_site_fract_x
_atom_site_fract_y
_atom_site_fract_z
Tb1 0.000 0.000 0.000
Tb2 0.072 0.500 0.703
Tb3 0.171 0.500 0.385
Nd1 0.084 0.000 0.445
Nd2 0.217 0.000 0.881
Er1 0.000 0.500 0.000
Er2 0.211 0.000 0.234

***

No. 8
# Tb2Nd12Er | the Alexandria database | GGA-PBE | optimized geometry
# DOS(E_F) = 89.22 states/eV per cell
# Energy of formation = 3.6 kcal/mol of atoms
# Spin magnetization = 0.000 μB per cell
data_Tb2Nd12Er
_symmetry_space_group_name_H-M 'C m m e'
_symmetry_Int_Tables_number 67
_symmetry_space_group_name_Hall '-C 2a 2'
_cell_length_a 7.216
_cell_length_b 11.651
_cell_length_c 25.027
_cell_angle_alpha 90.00
_cell_angle_beta 90.00
_cell_angle_gamma 90.00
loop_
_atom_site_label
_atom_site_fract_x
_atom_site_fract_y
_atom_site_fract_z
Tb1 0.000 0.250 0.229
Tb2 0.000 0.250 0.766
Nd1 0.000 0.002 0.573
Nd2 0.000 0.024 0.060
Nd3 0.231 0.250 0.915
Nd4 0.249 0.250 0.371
Nd5 0.250 0.000 0.175
Nd6 0.250 0.000 0.302
Er1 0.000 0.250 0.499

***

No. 9
# Tb3Nd2Er2 | the Alexandria database | GGA-PBE | optimized geometry
# DOS(E_F) = 21.30 states/eV per cell
# Energy of formation = 2.8 kcal/mol of atoms
# Spin magnetization = 0.000 μB per cell
# Energy above the most stable polymorph in this dataset = 104 meV per atom
data_Tb3Nd2Er2
_symmetry_space_group_name_H-M 'C 1 2/m 1'
_symmetry_Int_Tables_number 12
_cell_length_a 17.558
_cell_length_b 3.514
_cell_length_c 8.561
_cell_angle_alpha 90.00
_cell_angle_beta 119.07
_cell_angle_gamma 90.00
loop_
_symmetry_equiv_pos_as_xyz
'x,y,z'
'-x,-y,-z'
'-x,y,-z'
'x,-y,z'
'x+1/2,y+1/2,z'
'-x+1/2,-y+1/2,-z'
'-x+1/2,y+1/2,-z'
'x+1/2,-y+1/2,z'
loop_
_atom_site_label
_atom_site_fract_x
_atom_site_fract_y
_atom_site_fract_z
Tb1 0.000 0.000 0.000
Tb2 0.212 0.000 0.125
Nd1 0.067 0.500 0.720
Er1 0.150 0.000 0.466

***

No. 10
# Tb3Nd4Er2 | the Alexandria database | GGA-PBE | optimized geometry
# DOS(E_F) = 25.46 states/eV per cell
# Energy of formation = 2.0 kcal/mol of atoms
# Spin magnetization = 0.043 μB per cell
data_Tb3Nd4Er2
_symmetry_space_group_name_H-M 'C 1 2/m 1'
_symmetry_Int_Tables_number 12
_cell_length_a 12.856
_cell_length_b 3.656
_cell_length_c 14.411
_cell_angle_alpha 90.00
_cell_angle_beta 115.83
_cell_angle_gamma 90.00
loop_
_symmetry_equiv_pos_as_xyz
'x,y,z'
'-x,-y,-z'
'-x,y,-z'
'x,-y,z'
'x+1/2,y+1/2,z'
'-x+1/2,-y+1/2,-z'
'-x+1/2,y+1/2,-z'
'x+1/2,-y+1/2,z'
loop_
_atom_site_label
_atom_site_fract_x
_atom_site_fract_y
_atom_site_fract_z
Tb1 0.000 0.000 0.000
Tb2 0.008 0.000 0.388
Nd1 0.217 0.500 0.608
Nd2 0.222 0.000 0.872
Er1 0.049 0.500 0.209